Na2CuIrF7 | OQMD | PBE | relaxed; VASP energy = -4.469 eV/atom; spin magnetization = 2.02 μB/cell
1.0
-3.569 5.085 3.553
3.569 -5.085 3.553
3.569 5.085 -3.553
Na Cu Ir F
4 2 2 14
Direct
0.000 0.000 0.000
0.500 0.000 0.000
0.500 0.000 0.500
0.500 0.500 0.500
0.000 0.000 0.500
0.000 0.500 0.000
0.000 0.500 0.500
0.500 0.500 0.000
0.079 0.242 0.399
0.079 0.680 0.837
0.098 0.848 0.250
0.343 0.242 0.663
0.343 0.680 0.101
0.345 0.740 0.604
0.364 0.260 0.104
0.636 0.740 0.896
0.655 0.260 0.396
0.657 0.320 0.899
0.657 0.758 0.337
0.902 0.152 0.750
0.921 0.320 0.163
0.921 0.758 0.601